A plane-wave DFT calculation with PBE-GGA was carried out for a relaxed Rb2HgGe crystal.

Unit cell a=6.8623 b=6.8623 c=6.9131 alpha=90.00 beta=90.00 gamma=72.68
With the nearest neighbours (Å) after each atom.
Fractional positions:
Rb 0.0261 0.3181 0.2500  4 Ge 3.71-4.04, 1 Rb 3.81, 2 Hg 3.86
Rb 0.3181 0.0261 0.7500  4 Ge 3.71-4.04, 1 Rb 3.81, 2 Hg 3.86
Rb 0.6819 0.9739 0.2500  4 Ge 3.71-4.04, 1 Rb 3.81, 2 Hg 3.86
Rb 0.9739 0.6819 0.7500  4 Ge 3.71-4.04, 1 Rb 3.81, 2 Hg 3.86
Hg 0.5000 0.5000 0.0000  2 Ge 2.64
Hg 0.5000 0.5000 0.5000  2 Ge 2.64
Ge 0.2542 0.7458 0.2500  2 Hg 2.64
Ge 0.7458 0.2542 0.7500  2 Hg 2.64

Output
N(E_F) = 0.12 states/eV per cell
space-group type = Cmcm (63)
final energy = -1.88 eV per atom
energy relative to the lowest polymorph listed for this composition = 0.0 kJ/mol of formula units
formation enthalpy at 0 K = -165 meV/atom
total magnetic moment = 0.0 μB/cell